[1]
A crystal of Al2TlCdC relaxed with PBEsol. Source: Alexandria via LeMat-Bulk, functional meta-GGA SCAN.

Cell: 4.9454 4.9454 5.5471 Å, 90.00 90.00 90.00°
Closest atoms and distances in Å follow each position.
Fractional positions:
C 0.5000 0.5000 0.5000  4 Tl 3.50, 8 Al 3.72
Tl 0.0000 0.0000 0.5000  2 Cd 2.77
Al 0.0000 0.5000 0.0000  2 Cd 2.47
Al 0.5000 0.0000 0.0000  2 Cd 2.47
Cd 0.0000 0.0000 0.0000  4 Al 2.47

Results
energy relative to the elements: 1.837 eV/atom
crystal system: tetragonal


[2]
A crystal of Al3CCl relaxed with PBEsol. Source: Alexandria via LeMat-Bulk, functional meta-GGA SCAN.

Cell: 4.3174 4.3174 4.3174 Å, 90.00 90.00 90.00°
Closest atoms and distances in Å follow each position.
Fractional positions:
C 0.0000 0.0000 0.0000  6 Al 2.16
Al 0.0000 0.5000 0.0000  2 C 2.16
Al 0.0000 0.0000 0.5000  2 C 2.16
Al 0.5000 0.0000 0.0000  2 C 2.16
Cl 0.5000 0.5000 0.5000  12 Al 3.05

Results
formation energy without anion corrections: 607.7 meV per atom
crystal system: cubic


[3]
A crystal of AlCCl2 relaxed with PBEsol. Source: Alexandria via LeMat-Bulk, functional meta-GGA SCAN.

Cell: 3.1527 3.1527 8.0439 Å, 78.70 78.70 60.00°
Closest atoms and distances in Å follow each position.
Fractional positions:
C 0.0000 0.0000 0.0000  2 Cl 2.06
Al 0.5000 0.5000 0.5000  6 Cl 2.60
Cl 0.9125 0.9125 0.2626  1 C 2.06
Cl 0.0875 0.0875 0.7374  1 C 2.06

Results
formation energy without anion corrections: 1232.4 meV per atom
crystal system: trigonal


[4]
A crystal of Al2MoCCl relaxed with PBEsol. Source: Alexandria via LeMat-Bulk, functional meta-GGA SCAN.

Cell: 3.7399 3.7399 5.9877 Å, 90.00 90.00 90.00°
Closest atoms and distances in Å follow each position.
Fractional positions:
C 0.0000 0.0000 0.0000  4 Al 1.87
Mo 0.5000 0.5000 0.5000  4 Cl 2.64
Al 0.0000 0.5000 0.0000  2 C 1.87
Al 0.5000 0.0000 0.0000  2 C 1.87
Cl 0.0000 0.0000 0.5000  4 Mo 2.64

Results
formation energy without anion corrections: 775.5 meV per atom
crystal system: tetragonal


Record-wise N(E_F) values, in states/eV/f.u.: 2.10 1.45 1.44 2.17
Record-wise final energy values, in eV per atom: -23.838 -7.659 -7.219 -12.918